Computed, not measured: a geometry-optimized YLuTcPd structure at the PBE level of DFT.

Cell lengths 4.845, 4.845, 4.845 Å; angles 60.00, 60.00, 60.00 degrees
Element x y z (fractional)
Y 0.750 0.750 0.750
Lu 0.250 0.250 0.250
Tc 0.500 0.500 0.500
Pd 0.000 0.000 0.000

Calculated values
M_tot	0.0	Bohr magnetons per cell
D(E_F)	3.70	states/eV/f.u.
energy of formation	-1.62	eV/f.u.

***

Computed, not measured: a geometry-optimized Ac2Rh5Pb3 structure at the PBE level of DFT.

Cell lengths 6.286, 9.428, 9.428 Å; angles 63.68, 70.50, 70.50 degrees
Element x y z (fractional)
Ac 0.165 0.595 0.074
Ac 0.665 0.074 0.595
Ac 0.835 0.405 0.926
Ac 0.335 0.926 0.405
Rh 0.350 0.225 0.073
Rh 0.850 0.073 0.225
Rh 0.650 0.775 0.927
Rh 0.150 0.927 0.775
Rh 0.546 0.705 0.704
Rh 0.454 0.295 0.296
Rh 0.750 0.500 0.500
Rh 0.250 0.500 0.500
Rh 0.954 0.296 0.295
Rh 0.046 0.704 0.705
Pb 0.408 0.427 0.758
Pb 0.908 0.758 0.427
Pb 0.592 0.573 0.242
Pb 0.092 0.242 0.573
Pb 0.250 0.000 0.000
Pb 0.750 0.000 0.000

Calculated values
M_tot	0.0	Bohr magnetons per cell
D(E_F)	6.15	states/eV/f.u.
energy of formation	-3.56	eV/f.u.

***

Computed, not measured: a geometry-optimized Mn3NbPt structure at the PBE level of DFT.

Cell lengths 4.449, 4.449, 4.449 Å; angles 90.00, 90.00, 90.00 degrees
Element x y z (fractional)
Nb 0.500 0.500 0.500
Mn 0.000 0.500 0.000
Mn 0.000 0.000 0.500
Mn 0.500 0.000 0.000
Pt 0.000 0.000 0.000

Calculated values
M_tot	0.0	Bohr magnetons per cell
D(E_F)	12.77	states/eV/f.u.
energy of formation	8.47	eV/f.u.

***

Computed, not measured: a geometry-optimized Cs2ZnTe3 structure at the PBE level of DFT.

Cell lengths 4.984, 8.340, 25.385 Å; angles 90.00, 90.00, 90.00 degrees
Element x y z (fractional)
Cs 0.250 0.656 0.571
Cs 0.750 0.844 0.071
Cs 0.250 0.156 0.929
Cs 0.750 0.344 0.429
Cs 0.250 0.750 0.787
Cs 0.750 0.750 0.287
Cs 0.250 0.250 0.713
Cs 0.750 0.250 0.213
Zn 0.250 0.995 0.448
Zn 0.750 0.505 0.948
Zn 0.250 0.495 0.052
Zn 0.750 0.005 0.552
Te 0.250 0.672 0.964
Te 0.750 0.828 0.464
Te 0.250 0.172 0.536
Te 0.750 0.328 0.036
Te 0.250 0.899 0.181
Te 0.750 0.601 0.681
Te 0.250 0.399 0.319
Te 0.750 0.101 0.819
Te 0.250 0.575 0.154
Te 0.750 0.925 0.654
Te 0.250 0.075 0.346
Te 0.750 0.425 0.846

Calculated values
M_tot	0.0	Bohr magnetons per cell
ΔE_f (raw)	-0.71	eV/atom

***

> What is the M_tot in the fourth record?

0.0 Bohr magnetons per cell